## CuTcRh4 (PBE)

Data for crystalline CuTcRh4 at its relaxed geometry.

Calculated formation energy   2.60 eV/f.u.
Energy above the lowest structure with this stoichiometry   0.4101 eV/atom
Mass density   10.51 g/cm³
Final energy   -6.88 eV/atom

Lattice parameters (Å, degrees): 7.1293 7.1293 7.1293 90.00 90.00 90.00
Space group F-43m (No. 216)
Symmetry-distinct sites (fractional):
1 Cu 0.0000 0.0000 0.0000 x4
2 Tc 0.2500 0.2500 0.2500 x4
3 Rh 0.1253 0.1253 0.6253 x16